[1]
DFT (PBE) results for a relaxed TlOsRh2 crystal.

Lattice parameters (Å, degrees): 2.843 2.843 7.991 90.00 90.00 90.00
Element x y z (fractional)
1 Tl 0.500 0.500 0.000
2 Os 0.500 0.500 0.500
3 Rh 0.000 0.000 0.724
4 Rh 0.000 0.000 0.276

DFT formation energy = 0.222 eV/atom
Symmetry = P4/mmm, No. 123
Spin magnetization = 0.00 Bohr magnetons per cell
Distance to the lowest polymorph of the same formula = 0.000 eV per atom

***

[2]
DFT (PBE) results for a relaxed YZnB crystal.

Lattice parameters (Å, degrees): 8.751 3.770 3.242 90.00 100.67 90.01
Element x y z (fractional)
1 Y 0.035 0.936 0.688
2 Y 0.400 0.936 0.371
3 Zn 0.717 0.935 0.031
4 Zn 0.717 0.435 0.532
5 B 0.246 0.436 0.794
6 B 0.188 0.436 0.265

DFT formation energy = -0.279 eV/atom
Symmetry = Cm, No. 8
Spin magnetization = 0.00 Bohr magnetons per cell
Distance to the lowest polymorph of the same formula = 0.094 eV per atom

***

[3]
DFT (PBE) results for a relaxed Al2CoCu crystal.

Lattice parameters (Å, degrees): 4.756 4.756 4.756 139.43 133.32 63.53
Element x y z (fractional)
1 Co 0.502 0.502 0.000
2 Al 0.004 0.004 0.000
3 Al 0.742 0.242 0.500
4 Cu 0.252 0.752 0.500

DFT formation energy = -0.341 eV/atom
Symmetry = Imm2, No. 44
Spin magnetization = 0.00 Bohr magnetons per cell

***

[4]
DFT (PBE) results for a relaxed LaZrHgOs2 crystal.

Lattice parameters (Å, degrees): 4.840 5.477 4.840 90.00 90.00 90.00
Element x y z (fractional)
1 Os 0.000 0.000 0.500
2 Os 0.500 0.000 0.000
3 Hg 0.000 0.500 0.000
4 Zr 0.500 0.500 0.500
5 La 0.000 0.000 0.000

DFT formation energy = 1.828 eV/atom
Symmetry = P4/mmm, No. 123
Spin magnetization = 0.00 Bohr magnetons per cell

***

[5]
DFT (PBE) results for a relaxed Zr2CoP crystal.

Lattice parameters (Å, degrees): 3.171 3.171 7.026 90.00 90.00 102.03
Element x y z (fractional)
1 Co 0.000 0.000 0.548
2 P 0.500 0.500 0.697
3 Zr 0.000 0.000 0.953
4 Zr 0.500 0.500 0.303

DFT formation energy = -0.342 eV/atom
Symmetry = Cmm2, No. 35
Spin magnetization = 0.48 Bohr magnetons per cell
Distance to the lowest polymorph of the same formula = 0.591 eV per atom

***

[6]
DFT (PBE) results for a relaxed RbYAgS2 crystal.

Lattice parameters (Å, degrees): 5.105 7.649 7.748 99.14 90.00 90.00
Element x y z (fractional)
1 Rb 0.139 0.500 0.750
2 Rb 0.861 0.500 0.250
3 Y 0.494 0.000 0.250
4 Y 0.506 0.000 0.750
5 Ag 0.000 0.000 0.000
6 Ag 0.000 0.000 0.500
7 S 0.628 0.768 0.965
8 S 0.628 0.232 0.535
9 S 0.372 0.768 0.465
10 S 0.372 0.232 0.035

Symmetry = P2/c, No. 13
ΔE_f (raw) = -1.11 eV/atom
Spin magnetization = 0.00 Bohr magnetons per cell